# 1
## Cr2MoRu (PBE)

Data for Cr2MoRu after structural relaxation.

Unit cell a=4.0848 b=2.6667 c=5.0529 alpha=77.39 beta=90.00 gamma=90.00
With the nearest neighbours (Å) after each atom.
Fractional positions:
Cr 0.0000 0.0397 0.0148  4 Cr 2.40-2.67, 2 Mo 2.56-2.64, 2 Ru 2.59
Ru 0.5000 0.7713 0.7631  4 Cr 2.49-2.70, 2 Mo 2.66, 2 Ru 2.67
Mo 0.0000 0.4771 0.4940  4 Cr 2.56-2.64, 2 Ru 2.66, 2 Mo 2.67
Cr 0.5000 0.2119 0.2281  4 Cr 2.40-2.67, 1 Ru 2.49, 2 Mo 2.63

Calculated values
Formation enthalpy at 0 K in eV/atom: 0.15
Crystal system: monoclinic

---

# 2
## TaGaSb2 (PBE)

Data for TaGaSb2 after structural relaxation.

Unit cell a=6.4227 b=6.4227 c=7.6857 alpha=65.30 beta=65.30 gamma=90.00
With the nearest neighbours (Å) after each atom.
Fractional positions:
Ta 0.0000 0.0000 0.0000  4 Sb 2.71
Sb 0.8750 0.8860 0.7500  2 Ta 2.71, 2 Ga 2.79
Ta 0.7500 0.2500 0.5000  4 Sb 2.71
Sb 0.1140 0.6250 0.2500  2 Ta 2.71, 2 Ga 2.79
Sb 0.6360 0.1250 0.2500  2 Ta 2.71, 2 Ga 2.79
Ga 0.5000 0.5000 0.0000  4 Sb 2.79
Ga 0.2500 0.7500 0.5000  4 Sb 2.79
Sb 0.3750 0.3640 0.7500  2 Ta 2.71, 2 Ga 2.79

Calculated values
Energy relative to the elements, uncorrected in eV per atom: 0.4895
Crystal system: tetragonal

---

# 3
## CaScCd2 (PBE)

Data for CaScCd2 after structural relaxation.

Unit cell a=3.6738 b=3.6738 c=7.3803 alpha=90.00 beta=90.00 gamma=90.00
With the nearest neighbours (Å) after each atom.
Fractional positions:
Cd 0.0000 0.0000 0.2207  4 Sc 3.07, 1 Cd 3.26, 4 Ca 3.32
Cd 0.0000 0.0000 0.7793  4 Sc 3.07, 1 Cd 3.26, 4 Ca 3.32
Sc 0.5000 0.5000 0.0000  8 Cd 3.07
Ca 0.5000 0.5000 0.5000  8 Cd 3.32, 4 Ca 3.67, 2 Sc 3.69

Calculated values
Formation enthalpy at 0 K in eV/atom: -0.32
Crystal system: tetragonal

---

# 4
## NaSnAu2 (PBE)

Data for NaSnAu2 after structural relaxation.

Unit cell a=3.6110 b=4.8258 c=4.8258 alpha=90.00 beta=90.00 gamma=90.00
With the nearest neighbours (Å) after each atom.
Fractional positions:
Sn 0.5000 0.0000 0.0000  8 Au 3.01
Au 0.0000 0.0000 0.5000  4 Sn 3.01, 4 Na 3.01
Au 0.0000 0.5000 0.0000  4 Sn 3.01, 4 Na 3.01
Na 0.5000 0.5000 0.5000  8 Au 3.01

Calculated values
Formation enthalpy at 0 K in eV/atom: -0.22
Crystal system: tetragonal

---

# 5
## KBaSi2 (PBE)

Data for KBaSi2 after structural relaxation.

Unit cell a=3.5807 b=3.5807 c=9.9539 alpha=90.00 beta=90.00 gamma=90.00
With the nearest neighbours (Å) after each atom.
Fractional positions:
Ba 0.0000 0.0000 0.4046  5 Si 3.18-3.43
K 0.5000 0.5000 0.8382  5 Si 3.32-3.53, 4 K 3.58
Si 0.5000 0.5000 0.1720  4 Si 2.68
Si 0.0000 0.0000 0.0852  4 Si 2.68

Calculated values
Energy relative to the elements, uncorrected in eV per atom: 0.1530
Crystal system: tetragonal

---

# 6
## AcTb6Pr (PBE)

Data for AcTb6Pr after structural relaxation.

Unit cell a=6.0220 b=6.0220 c=8.9592 alpha=79.57 beta=79.57 gamma=71.28
With the nearest neighbours (Å) after each atom.
Fractional positions:
Pr 0.5000 0.5000 0.5000  10 Tb 3.47-3.69
Tb 0.3771 0.3771 0.9199  3 Tb 3.06-3.32
Ac 0.0000 0.0000 0.0000  10 Tb 3.54-3.83
Tb 0.9560 0.4794 0.7012  5 Tb 3.32-3.71, 2 Pr 3.47-3.51, 1 Ac 3.54
Tb 0.0440 0.5206 0.2988  5 Tb 3.32-3.71, 2 Pr 3.47-3.51, 1 Ac 3.54
Tb 0.6229 0.6229 0.0801  3 Tb 3.06-3.32
Tb 0.4794 0.9560 0.7012  5 Tb 3.32-3.71, 2 Pr 3.47-3.51, 1 Ac 3.54
Tb 0.5206 0.0440 0.2988  5 Tb 3.32-3.71, 2 Pr 3.47-3.51, 1 Ac 3.54

Calculated values
Formation enthalpy at 0 K in eV/atom: 0.39
Crystal system: monoclinic

---

Number 1: E -9.6925 eV per atom, spin magnetization 0.00 μB/f.u.. Number 2: E -5.2916 eV per atom, spin magnetization 0.00 μB/f.u.. Number 3: E -2.8564 eV per atom, spin magnetization 0.00 μB/f.u.. Number 4: E -3.1923 eV per atom, spin magnetization 0.00 μB/f.u.. Number 5: E -3.3136 eV per atom, spin magnetization 0.41 μB/f.u.. Number 6: E -4.1922 eV per atom, spin magnetization 0.00 μB/f.u..